Here is a relaxed structure of ReAu3I from the Alexandria database. Energies are from PBE.

Results
The crystal system is cubic. The final energy comes out at -17.6 eV per cell. As for the raw formation energy: 598.5 kJ/mol of formula units.

Cell: 5.094 5.094 5.094 Å, 90.00 90.00 90.00°
Space group Pm-3m (No. 221)
Symmetry-distinct sites (fractional):
Re 0.000 0.000 0.000 [1 per cell]
Au 0.000 0.000 0.500 [3 per cell]
I 0.500 0.500 0.500 [1 per cell]